1.
A plane-wave DFT calculation with PBE was carried out for a geometry-optimized Cs2KAs structure.

extended XYZ file:
```
4
Lattice="-3.9675 -3.2443 3.5708 -6.1216 0.1110 -1.2375 -2.8169 -5.0848 -2.2863" Properties=species:S:1:pos:R:3 pbc="T T T"
Cs -3.2265 -2.0546 0.0118
Cs -9.6795 -6.1637 0.0353
As -6.4530 -4.1091 0.0235
K 0.0000 0.0000 0.0000
```

- DFT formation energy: -168 meV/atom

---

2.
A plane-wave DFT calculation with PBE was carried out for a geometry-optimized SrGaGe2 structure.

extended XYZ file:
```
8
Lattice="5.0023 0.0000 0.0000 0.0000 5.0023 0.0000 2.5011 2.5011 8.7232" Properties=species:S:1:pos:R:3 pbc="T T T"
Sr 0.0000 0.0000 0.0000
Sr 5.0023 2.5011 4.3616
Ge 3.0902 1.2506 2.1808
Ge 1.9120 3.7517 2.1808
Ge 3.7517 4.4132 6.5424
Ge 6.2528 5.5914 6.5424
Ga 2.5011 2.5011 0.0000
Ga 2.5011 5.0023 4.3616
```

- DFT formation energy: -182 meV/atom

---

3.
A plane-wave DFT calculation with PBE was carried out for a geometry-optimized KS4 structure.

extended XYZ file:
```
5
Lattice="4.8130 0.7976 1.6850 3.0964 5.3655 -0.0013 2.4736 -1.4223 7.3867" Properties=species:S:1:pos:R:3 pbc="T T T"
K 0.0000 0.0000 0.0000
S 5.5335 3.9588 2.2560
S 4.8494 0.7820 6.8144
S 6.0451 3.6652 4.1572
S 4.3378 1.0756 4.9133
```

- Offset from the most stable computed form: 0.000 eV per atom
- Uncorrected formation energy: -0.25 eV/atom

---

4.
A plane-wave DFT calculation with PBE was carried out for a geometry-optimized K3Cd7Hg4 structure.

extended XYZ file:
```
14
Lattice="-3.2486 -3.7271 1.3611 5.2440 -6.4353 4.5543 -0.6100 0.4777 9.5128" Properties=species:S:1:pos:R:3 pbc="T T T"
K 0.0107 -2.3216 3.3285
K 1.3748 -7.3632 12.0996
K 2.3170 -2.9788 7.0336
Cd 2.8387 -6.2277 9.0426
Cd -1.1929 -2.6040 9.3430
Cd -1.5499 -5.0006 11.5886
Cd -1.4532 -3.4571 6.3856
Cd 2.9353 -4.6841 3.8396
Cd 0.0000 0.0000 0.0000
Cd 2.5784 -7.0807 6.0852
Hg 0.2470 -5.4645 4.9468
Hg 1.1384 -4.2203 10.4814
Hg 1.8441 -9.0195 8.6841
Hg -0.4586 -0.6653 6.7441
```

- DFT formation energy: -141 meV/atom

---

5.
A plane-wave DFT calculation with PBE was carried out for a geometry-optimized Sm3Pa structure.

extended XYZ file:
```
4
Lattice="-0.8596 -0.5171 3.3265 5.9298 -0.6324 1.4340 -2.1624 6.3086 -1.3927" Properties=species:S:1:pos:R:3 pbc="T T T"
Pa 5.8790 -0.6269 1.4217
Sm 2.2286 2.7734 1.0070
Sm 2.4706 -0.5678 2.3646
Sm -1.1821 2.5842 1.9107
```

- DFT formation energy: 228 meV/atom
- Offset from the most stable computed form: 0.000 eV per atom

---

6.
A plane-wave DFT calculation with PBE was carried out for a geometry-optimized YOsRu2 structure.

extended XYZ file:
```
4
Lattice="9.6871 -0.0024 -0.0014 9.2763 2.7911 -0.0014 9.2763 1.3642 2.4350" Properties=species:S:1:pos:R:3 pbc="T T T"
Os 7.3299 1.0779 0.6313
Ru 28.2366 4.1525 2.4320
Ru 20.9251 3.0772 1.8023
Y 14.1078 2.0747 1.2151
```

- DFT formation energy: 511 meV/atom
- Offset from the most stable computed form: 0.350 eV per atom

---

7.
A plane-wave DFT calculation with PBE was carried out for a geometry-optimized BaLaCo2Pb structure.

extended XYZ file:
```
5
Lattice="-1.0762 4.5648 -1.4969 -3.1175 0.8800 4.9248 4.0372 1.6908 2.2535" Properties=species:S:1:pos:R:3 pbc="T T T"
Pb -0.0782 3.5678 2.8407
Co 2.0186 0.8454 1.1267
Co -0.5381 2.2824 -0.7485
Ba 0.0000 0.0000 0.0000
La -1.5587 0.4400 2.4624
```

- DFT formation energy: 1364 meV/atom

---

8.
A plane-wave DFT calculation with PBE was carried out for a geometry-optimized Sc3Cu11 structure.

extended XYZ file:
```
14
Lattice="3.9366 0.0000 1.1031 1.2686 6.7941 3.0486 0.0074 -0.2660 7.5493" Properties=species:S:1:pos:R:3 pbc="T T T"
Sc 0.0000 0.0000 0.0000
Sc 2.0836 4.5463 7.7154
Sc 3.1289 1.9818 3.9855
Cu 3.5323 4.3806 10.1215
Cu 3.9654 2.5011 8.5760
Cu 3.8902 6.3840 8.8443
Cu 2.3578 1.8732 6.7371
Cu 0.6863 0.8877 5.1263
Cu 0.6380 3.2641 5.2989
Cu 4.5262 5.6404 6.5747
Cu 2.8547 4.6549 4.9639
Cu 1.3223 0.1441 2.8567
Cu 1.2471 4.0270 3.1250
Cu 1.6802 2.1476 1.5795
```

- DFT formation energy: -142 meV/atom

---

Total DFT energy (no corrections)? In order: -2.03; -3.67; -3.77; -0.92; -5.69; -8.55; -3.59; -4.72 eV/atom.